PrNdAgIr after structural relaxation, computed with PBE-GGA.

Lattice parameters (Å, degrees): 7.296 7.296 7.296 90.00 90.00 90.00
Fractional positions:
Pr  0.000  0.000  0.000
Pr  0.000  0.500  0.500
Pr  0.500  0.000  0.500
Pr  0.500  0.500  0.000
Nd  0.000  0.000  0.500
Nd  0.000  0.500  0.000
Nd  0.500  0.000  0.000
Nd  0.500  0.500  0.500
Ag  0.250  0.250  0.250
Ag  0.250  0.750  0.750
Ag  0.750  0.250  0.750
Ag  0.750  0.750  0.250
Ir  0.250  0.250  0.750
Ir  0.250  0.750  0.250
Ir  0.750  0.250  0.250
Ir  0.750  0.750  0.750

Values from the calculation:
Total magnetic moment = 0.000 Bohr magnetons per cell

***

TbNdAgIr after structural relaxation, computed with PBE-GGA.

Lattice parameters (Å, degrees): 7.168 7.168 7.168 90.00 90.00 90.00
Fractional positions:
Tb  0.000  0.000  0.000
Tb  0.000  0.500  0.500
Tb  0.500  0.000  0.500
Tb  0.500  0.500  0.000
Nd  0.000  0.000  0.500
Nd  0.000  0.500  0.000
Nd  0.500  0.000  0.000
Nd  0.500  0.500  0.500
Ag  0.250  0.250  0.750
Ag  0.250  0.750  0.250
Ag  0.750  0.250  0.250
Ag  0.750  0.750  0.750
Ir  0.250  0.250  0.250
Ir  0.250  0.750  0.750
Ir  0.750  0.250  0.750
Ir  0.750  0.750  0.250

Values from the calculation:
Total magnetic moment = 0.000 Bohr magnetons per cell

***

NdTmAgIr after structural relaxation, computed with PBE-GGA.

Lattice parameters (Å, degrees): 7.111 7.111 7.111 90.00 90.00 90.00
Fractional positions:
Nd  0.000  0.000  0.000
Nd  0.000  0.500  0.500
Nd  0.500  0.000  0.500
Nd  0.500  0.500  0.000
Tm  0.000  0.000  0.500
Tm  0.000  0.500  0.000
Tm  0.500  0.000  0.000
Tm  0.500  0.500  0.500
Ag  0.250  0.250  0.750
Ag  0.250  0.750  0.250
Ag  0.750  0.250  0.250
Ag  0.750  0.750  0.750
Ir  0.250  0.250  0.250
Ir  0.250  0.750  0.750
Ir  0.750  0.250  0.750
Ir  0.750  0.750  0.250

Values from the calculation:
Total magnetic moment = 0.000 Bohr magnetons per cell

***

NdZrAgIr after structural relaxation, computed with PBE-GGA.

Lattice parameters (Å, degrees): 7.000 7.000 7.000 90.00 90.00 90.00
Fractional positions:
Nd  0.000  0.000  0.000
Nd  0.000  0.500  0.500
Nd  0.500  0.000  0.500
Nd  0.500  0.500  0.000
Zr  0.000  0.000  0.500
Zr  0.000  0.500  0.000
Zr  0.500  0.000  0.000
Zr  0.500  0.500  0.500
Ag  0.250  0.250  0.750
Ag  0.250  0.750  0.250
Ag  0.750  0.250  0.250
Ag  0.750  0.750  0.750
Ir  0.250  0.250  0.250
Ir  0.250  0.750  0.750
Ir  0.750  0.250  0.750
Ir  0.750  0.750  0.250

Values from the calculation:
Total magnetic moment = 0.000 Bohr magnetons per cell

***

NiAgIr3 after structural relaxation, computed with PBE-GGA.

Lattice parameters (Å, degrees): 4.491 4.491 4.491 90.00 90.00 90.00
Fractional positions:
Ni  0.000  0.000  0.000
Ag  0.500  0.500  0.500
Ir  0.000  0.000  0.500
Ir  0.000  0.500  0.000
Ir  0.500  0.000  0.000

Values from the calculation:
Distance to the lowest polymorph of the same formula = 0 meV/atom
Total magnetic moment = 3.250 Bohr magnetons per cell

***

NiAgIr2 after structural relaxation, computed with PBE-GGA.

Lattice parameters (Å, degrees): 2.748 2.748 7.670 90.00 90.00 90.00
Fractional positions:
Ni  0.000  0.000  0.000
Ag  0.500  0.500  0.254
Ir  0.000  0.000  0.539
Ir  0.500  0.500  0.778

Values from the calculation:
Distance to the lowest polymorph of the same formula = 0 meV/atom
Total magnetic moment = 0.001 Bohr magnetons per cell

***

Calculated formation energy values (in eV/atom) by entry order: -0.42, -0.50, -0.52, -0.31, 1.52, 0.17.